Record 1
# Tb2Nb3Si4

Tb2Nb3Si4 after structural relaxation (PBE-GGA, the Alexandria database).

Cell: 7.071 7.079 6.922 Å, 90.00 108.80 90.00°
Atoms (fractional coordinates):
Tb1 0.188 0.170 0.065
Tb2 0.188 0.330 0.565
Tb3 0.812 0.670 0.435
Tb4 0.812 0.830 0.935
Nb1 0.256 0.676 0.248
Nb2 0.256 0.824 0.748
Nb3 0.500 0.000 0.500
Nb4 0.500 0.500 0.000
Nb5 0.744 0.176 0.252
Nb6 0.744 0.324 0.752
Si1 0.084 0.537 0.868
Si2 0.084 0.963 0.368
Si3 0.494 0.125 0.872
Si4 0.494 0.375 0.372
Si5 0.506 0.625 0.628
Si6 0.506 0.875 0.128
Si7 0.916 0.037 0.632
Si8 0.916 0.463 0.132



Record 2
# CdNi2BiH

CdNi2BiH after structural relaxation (PBE-GGA, the Alexandria database).

Cell: 4.940 4.940 3.479 Å, 90.00 90.00 90.00°
Atoms (fractional coordinates):
Cd1 0.000 0.000 0.000
Ni1 0.000 0.500 0.000
Ni2 0.500 0.000 0.000
Bi1 0.500 0.500 0.500
H1 0.000 0.000 0.500



Record 3
# Pm2Y3Pt4

Pm2Y3Pt4 after structural relaxation (PBE-GGA, the Alexandria database).

Cell: 7.659 7.691 7.807 Å, 90.00 109.03 90.00°
Atoms (fractional coordinates):
Pm1 0.198 0.178 0.083
Pm2 0.198 0.322 0.583
Pm3 0.802 0.678 0.417
Pm4 0.802 0.822 0.917
Y1 0.243 0.666 0.248
Y2 0.243 0.834 0.748
Y3 0.500 0.000 0.500
Y4 0.500 0.500 0.000
Y5 0.757 0.166 0.252
Y6 0.757 0.334 0.752
Pt1 0.091 0.535 0.863
Pt2 0.091 0.965 0.363
Pt3 0.495 0.133 0.872
Pt4 0.495 0.367 0.372
Pt5 0.505 0.633 0.628
Pt6 0.505 0.867 0.128
Pt7 0.909 0.035 0.637
Pt8 0.909 0.465 0.137



Record 4
# ScBiAsSe2

ScBiAsSe2 after structural relaxation (PBE-GGA, the Alexandria database).

Cell: 5.103 5.103 5.216 Å, 90.00 90.00 90.00°
Atoms (fractional coordinates):
Sc1 0.000 0.000 0.000
Bi1 0.500 0.500 0.500
As1 0.000 0.000 0.500
Se1 0.000 0.500 0.000
Se2 0.500 0.000 0.000



Record 5
# Y2PdBr2

Y2PdBr2 after structural relaxation (PBE-GGA, the Alexandria database).

Cell: 3.988 3.988 33.022 Å, 90.00 90.00 120.00°
Atoms (fractional coordinates):
Y1 0.000 0.000 0.116
Y2 0.000 0.000 0.884
Y3 0.333 0.667 0.551
Y4 0.333 0.667 0.782
Y5 0.667 0.333 0.218
Y6 0.667 0.333 0.449
Pd1 0.000 0.000 0.500
Pd2 0.333 0.667 0.167
Pd3 0.667 0.333 0.833
Br1 0.000 0.000 0.275
Br2 0.000 0.000 0.725
Br3 0.333 0.667 0.391
Br4 0.333 0.667 0.942
Br5 0.667 0.333 0.058
Br6 0.667 0.333 0.609



Record 6
# PuPaVN4

PuPaVN4 after structural relaxation (PBE-GGA, the Alexandria database).

Cell: 6.586 6.586 5.359 Å, 90.00 90.00 131.68°
Atoms (fractional coordinates):
Pu1 0.107 0.893 0.750
Pu2 0.893 0.107 0.250
Pa1 0.387 0.613 0.750
Pa2 0.613 0.387 0.250
V1 0.239 0.761 0.250
V2 0.761 0.239 0.750
N1 0.000 0.500 0.000
N2 0.000 0.500 0.500
N3 0.078 0.922 0.250
N4 0.433 0.567 0.250
N5 0.500 0.000 0.000
N6 0.500 0.000 0.500
N7 0.567 0.433 0.750
N8 0.922 0.078 0.750



Record 7
# Si2SbRh

Si2SbRh after structural relaxation (PBE-GGA, the Alexandria database).

Cell: 2.972 3.224 7.433 Å, 90.00 90.00 90.00°
Atoms (fractional coordinates):
Si1 0.000 0.000 0.000
Si2 0.500 0.500 0.190
Sb1 0.500 0.500 0.626
Rh1 0.000 0.000 0.358



Record 8
# In3Te2Se2

In3Te2Se2 after structural relaxation (PBE-GGA, the Alexandria database).

Cell: 13.677 4.161 7.224 Å, 90.00 97.66 90.00°
Atoms (fractional coordinates):
In1 0.000 0.000 0.000
In2 0.238 0.500 0.241
In3 0.262 0.000 0.759
In4 0.500 0.500 0.000
In5 0.738 0.000 0.241
In6 0.762 0.500 0.759
Te1 0.119 0.000 0.386
Te2 0.381 0.500 0.614
Te3 0.619 0.500 0.386
Te4 0.881 0.000 0.614
Se1 0.131 0.500 0.887
Se2 0.369 0.000 0.113
Se3 0.631 0.000 0.887
Se4 0.869 0.500 0.113



Record 9
# CaCoOs3

CaCoOs3 after structural relaxation (PBE-GGA, the Alexandria database).

Cell: 4.512 4.512 4.512 Å, 90.00 90.00 90.00°
Atoms (fractional coordinates):
Ca1 0.000 0.000 0.000
Co1 0.500 0.500 0.500
Os1 0.000 0.500 0.500
Os2 0.500 0.000 0.500
Os3 0.500 0.500 0.000



Record 10
# NaCdSn2

NaCdSn2 after structural relaxation (PBE-GGA, the Alexandria database).

Cell: 3.867 3.867 7.176 Å, 90.00 90.00 90.00°
Atoms (fractional coordinates):
Na1 0.000 0.000 0.000
Cd1 0.000 0.000 0.500
Sn1 0.500 0.500 0.281
Sn2 0.500 0.500 0.719



Record 11
# Na2LaDySe4

Na2LaDySe4 after structural relaxation (PBE-GGA, the Alexandria database).

Cell: 7.391 4.265 7.408 Å, 90.00 109.38 90.00°
Atoms (fractional coordinates):
Na1 0.000 0.000 0.000
Na2 0.500 0.500 0.000
La1 0.000 0.500 0.500
Dy1 0.500 0.000 0.500
Se1 0.256 0.000 0.735
Se2 0.266 0.500 0.269
Se3 0.734 0.500 0.731
Se4 0.744 0.000 0.265



Record 12
# Pm2PrTl2Zn2

Pm2PrTl2Zn2 after structural relaxation (PBE-GGA, the Alexandria database).

Cell: 9.798 9.798 9.798 Å, 28.42 28.42 28.42°
Atoms (fractional coordinates):
Pm1 0.130 0.130 0.130
Pm2 0.870 0.870 0.870
Pr1 0.000 0.000 0.000
Tl1 0.266 0.266 0.266
Tl2 0.734 0.734 0.734
Zn1 0.414 0.414 0.414
Zn2 0.586 0.586 0.586



Number 1: electronic total energy -7.618 eV/atom. Number 2: electronic total energy -3.264 eV/atom. Number 3: electronic total energy -7.026 eV/atom. Number 4: electronic total energy -4.597 eV/atom. Number 5: electronic total energy -5.616 eV/atom. Number 6: electronic total energy -10.727 eV/atom. Number 7: electronic total energy -5.614 eV/atom. Number 8: electronic total energy -3.438 eV/atom. Number 9: electronic total energy -7.216 eV/atom. Number 10: electronic total energy -2.616 eV/atom. Number 11: electronic total energy -4.987 eV/atom. Number 12: electronic total energy -3.278 eV/atom.